VASP calculation (PBE) on a geometry-optimized Li2TaRh structure.

extended XYZ file:
```
12
Lattice="2.7415 0.0000 0.0000 -1.3707 2.3742 0.0000 0.0000 0.0000 28.7709" Properties=species:S:1:pos:R:3 pbc="T T T"
Li 0.0000 0.0000 6.9222
Li 0.0000 0.0000 21.8487
Li 0.0000 1.5828 12.2584
Li 0.0000 1.5828 26.1029
Li 1.3707 0.7914 2.6681
Li 1.3707 0.7914 16.5125
Ta 0.0000 0.0000 0.0000
Ta 0.0000 1.5828 19.1806
Ta 1.3707 0.7914 9.5903
Rh 0.0000 0.0000 14.3855
Rh 0.0000 1.5828 4.7952
Rh 1.3707 0.7914 23.9758
```

Values from the calculation:
theoretical density	7.920	g/cm³
energy relative to the lowest polymorph listed for this composition	156	meV/atom
total energy	-5.63	eV per atom
DOS at the Fermi energy	4.24	states/eV/f.u.
V	62.4	Å³/f.u.
crystal system	trigonal
ΔE_f	12.7	kJ per mole of atoms